Entry 1:
The following is a DFT calculation (PBE) of a relaxed Ce5Sn2C crystal.

Cell and atoms, written as extended XYZ:
```
16
Lattice="2.6153 -8.5450 0.0000 2.6153 8.5450 0.0000 0.0000 0.0000 11.3398" Properties=species:S:1:pos:R:3 pbc="T T T"
Ce 2.6153 7.3755 7.1734
Ce 2.6153 7.3755 9.8364
Ce 2.6153 3.8667 6.3768
Ce 2.6153 3.8667 10.6330
Ce 2.6153 3.3660 2.8350
Ce 2.6153 -3.3660 8.5049
Ce 2.6153 -3.8667 0.7069
Ce 2.6153 -3.8667 4.9631
Ce 2.6153 -7.3755 1.5035
Ce 2.6153 -7.3755 4.1664
Sn 2.6153 6.3941 1.4235
Sn 2.6153 6.3941 4.2464
Sn 2.6153 -6.3941 7.0934
Sn 2.6153 -6.3941 9.9163
C 2.6153 5.3636 8.5049
C 2.6153 -5.3636 2.8350
```

Raw total energy in eV for the cell shown: -93.46
Energy relative to the elements in kJ/mol of atoms: 2.0
Space group: No. 63


Entry 2:
The following is a DFT calculation (PBE) of a relaxed Ba2In2S5 crystal.

Cell and atoms, written as extended XYZ:
```
9
Lattice="6.8403 -2.7093 0.0000 6.8403 2.7093 0.0000 -2.6919 0.0000 6.9558" Properties=species:S:1:pos:R:3 pbc="T T T"
Ba 0.6691 0.0000 2.1006
Ba 10.3195 0.0000 4.8552
In 4.4303 0.0000 0.9405
In 6.5583 0.0000 6.0153
S -0.2541 0.0000 6.3099
S 3.6152 0.0000 3.2350
S 6.8403 0.0000 0.0000
S 7.3734 0.0000 3.7208
S 11.2428 0.0000 0.6459
```

Raw total energy in eV for the cell shown: -40.62
Formation energy (no corrections) in eV per atom: -1.185
Distance to the lowest polymorph of the same formula in eV/atom: 0.127
Space group: No. 12


raw total energy of number 2 (Ba2In2S5)?
-40.62 eV for the cell shown